# 1
This record from Alexandria via LeMat-Bulk describes a relaxed ZrGe3Br crystal. The functional is PBE.

Computed properties:
Space group: No. 221
Energy relative to the lowest polymorph listed for this composition (eV/f.u.): 2.37
Mass density (g/cm³): 5.14
Formation energy from raw total energies (eV/atom): 0.932
V (A^3/atom): 25.136
D(E_F) (states/eV/f.u.): 4.756

Cell and atoms, written as CIF:
```
data_ZrGe3Br
_cell_length_a 5.0090
_cell_length_b 5.0090
_cell_length_c 5.0090
_cell_angle_alpha 90.00
_cell_angle_beta 90.00
_cell_angle_gamma 90.00
_symmetry_space_group_name_H-M 'P 1'
_symmetry_Int_Tables_number 1
_symmetry_space_group_name_Hall 'P 1'
loop_
_atom_site_label
_atom_site_fract_x
_atom_site_fract_y
_atom_site_fract_z
Zr1 0.0000 0.0000 0.0000
Ge1 0.0000 0.5000 0.5000
Ge2 0.5000 0.0000 0.5000
Ge3 0.5000 0.5000 0.0000
Br1 0.5000 0.5000 0.5000
```


# 2
This record from Alexandria via LeMat-Bulk describes a relaxed La4UN5 crystal. The functional is PBE.

Computed properties:
Space group: No. 79
Mass density (g/cm³): 8.21
Formation energy from raw total energies (eV/atom): -1.388
V (A^3/atom): 17.466
D(E_F) (states/eV/f.u.): 5.934

Cell and atoms, written as CIF:
```
data_La4UN5
_cell_length_a 6.3440
_cell_length_b 6.3440
_cell_length_c 6.3440
_cell_angle_alpha 99.77
_cell_angle_beta 99.77
_cell_angle_gamma 131.35
_symmetry_space_group_name_H-M 'P 1'
_symmetry_Int_Tables_number 1
_symmetry_space_group_name_Hall 'P 1'
loop_
_atom_site_label
_atom_site_fract_x
_atom_site_fract_y
_atom_site_fract_z
La1 0.1018 0.2996 0.4013
La2 0.2996 0.8982 0.1978
La3 0.7004 0.1018 0.8022
La4 0.8982 0.7004 0.5987
U1 0.5093 0.5093 0.0000
N1 0.2452 0.5908 0.8294
N2 0.4158 0.2452 0.6544
N3 0.5908 0.7614 0.3456
N4 0.7614 0.4158 0.1706
N5 0.9622 0.9622 0.0000
```


# 3
This record from Alexandria via LeMat-Bulk describes a relaxed La2SnW crystal. The functional is PBE.

Computed properties:
Space group: No. 122
Mass density (g/cm³): 8.58
V (A^3/atom): 28.069
Energy of formation (meV/atom): 453
D(E_F) (states/eV/f.u.): 4.417

Cell and atoms, written as CIF:
```
data_La2SnW
_cell_length_a 8.6467
_cell_length_b 8.6467
_cell_length_c 6.0069
_cell_angle_alpha 90.00
_cell_angle_beta 90.00
_cell_angle_gamma 90.00
_symmetry_space_group_name_H-M 'P 1'
_symmetry_Int_Tables_number 1
_symmetry_space_group_name_Hall 'P 1'
loop_
_atom_site_label
_atom_site_fract_x
_atom_site_fract_y
_atom_site_fract_z
La1 0.1906 0.7500 0.1250
La2 0.2500 0.1906 0.8750
La3 0.2500 0.3094 0.3750
La4 0.3094 0.7500 0.6250
La5 0.6906 0.2500 0.6250
La6 0.7500 0.6906 0.3750
La7 0.7500 0.8094 0.8750
La8 0.8094 0.2500 0.1250
Sn1 0.0000 0.0000 0.5000
Sn2 0.0000 0.5000 0.7500
Sn3 0.5000 0.0000 0.2500
Sn4 0.5000 0.5000 0.0000
W1 0.0000 0.0000 0.0000
W2 0.0000 0.5000 0.2500
W3 0.5000 0.0000 0.7500
W4 0.5000 0.5000 0.5000
```